Ca2TlCu2 | PBE-GGA | relaxed

The space group is I4/mmm (No. 139) and the conventional cell measures 5.6845, 5.6845 and 7.6723 Å, with angles of 90.00, 90.00 and 90.00 degrees. The distinct sites, in fractional coordinates, are Ca at (0.0000, 0.5000, 0.2500), Tl at (0.0000, 0.0000, 0.0000) and Cu at (0.0000, 0.0000, 0.3505).

Its formation energy is -68.6 meV/atom. As for the size of the total moment: 0.00 μB per formula unit.